Record 1
First-principles (PBE-GGA) data for a relaxed Ho3Cu3Pd2 crystal, as listed in Alexandria via LeMat-Bulk.

abc: 4.063 5.487 15.119
angles: 90.00 90.00 111.73
Fractional coordinates of all 16 atoms:
Ho 0.919 0.838 0.397
Ho 0.081 0.162 0.897
Ho 0.919 0.838 0.103
Ho 0.081 0.162 0.603
Ho 0.646 0.292 0.250
Ho 0.354 0.708 0.750
Cu 0.612 0.225 0.466
Cu 0.388 0.775 0.966
Cu 0.612 0.225 0.034
Cu 0.388 0.775 0.534
Cu 0.365 0.729 0.250
Cu 0.635 0.271 0.750
Pd 0.788 0.575 0.888
Pd 0.212 0.425 0.388
Pd 0.788 0.575 0.612
Pd 0.212 0.425 0.112

Computed properties:
**Offset from the most stable computed form**: 0.000 eV/atom
**D(E_F)**: 10.33 states/eV per cell
**Calculated formation energy**: -12.271 kcal/mol of atoms
**Symmetry**: Cmcm
**Crystal system**: orthorhombic

---

Record 2
First-principles (PBE-GGA) data for a relaxed Ho3Cu2Pd5 crystal, as listed in Alexandria via LeMat-Bulk.

abc: 3.950 9.604 9.604
angles: 90.00 90.00 90.00
Fractional coordinates of all 20 atoms:
Ho 0.000 0.327 0.827
Ho 0.000 0.673 0.173
Ho 0.000 0.173 0.327
Ho 0.000 0.827 0.673
Ho 0.000 0.000 0.000
Ho 0.000 0.500 0.500
Cu 0.000 0.120 0.620
Cu 0.000 0.880 0.380
Cu 0.000 0.380 0.120
Cu 0.000 0.620 0.880
Pd 0.500 0.211 0.074
Pd 0.500 0.789 0.926
Pd 0.500 0.926 0.211
Pd 0.500 0.074 0.789
Pd 0.500 0.289 0.574
Pd 0.500 0.711 0.426
Pd 0.500 0.574 0.711
Pd 0.500 0.426 0.289
Pd 0.500 0.000 0.500
Pd 0.500 0.500 0.000

Computed properties:
**D(E_F)**: 8.09 states/eV per cell
**Calculated formation energy**: -16.619 kcal/mol of atoms
**Symmetry**: P4/mbm
**Crystal system**: tetragonal

---

Record 3
First-principles (PBE-GGA) data for a relaxed Ho3CuPd crystal, as listed in Alexandria via LeMat-Bulk.

abc: 3.739 7.013 9.489
angles: 90.00 90.00 90.00
Last column: magnetic moment on the atom in μB.
Fractional coordinates of all 10 atoms:
Ho 0.750 0.750 0.055  0.06
Ho 0.250 0.250 0.945  0.06
Ho 0.750 0.995 0.683  0.03
Ho 0.750 0.505 0.683  0.03
Ho 0.250 0.005 0.317  0.03
Ho 0.250 0.495 0.317  0.03
Cu 0.750 0.750 0.436  0.00
Cu 0.250 0.250 0.564  0.00
Pd 0.750 0.250 0.165  0.00
Pd 0.250 0.750 0.835  0.00

Computed properties:
**D(E_F)**: 11.69 states/eV per cell
**Calculated formation energy**: -8.343 kcal/mol of atoms
**Symmetry**: Pmmn
**Crystal system**: orthorhombic

---

Record 4
First-principles (PBE-GGA) data for a relaxed HoCu4Pd8 crystal, as listed in Alexandria via LeMat-Bulk.

abc: 4.999 6.795 6.795
angles: 82.22 68.42 68.42
Fractional coordinates of all 13 atoms:
Ho 0.000 0.000 0.000
Cu 0.000 0.000 0.500
Cu 0.500 0.000 0.500
Cu 0.000 0.500 0.000
Cu 0.500 0.500 0.000
Pd 0.000 0.347 0.653
Pd 0.000 0.653 0.347
Pd 0.347 0.653 0.653
Pd 0.653 0.347 0.347
Pd 0.500 0.784 0.216
Pd 0.500 0.216 0.784
Pd 0.284 0.216 0.216
Pd 0.716 0.784 0.784

Computed properties:
**D(E_F)**: 11.78 states/eV per cell
**Calculated formation energy**: -7.391 kcal/mol of atoms
**Symmetry**: I4/mmm
**Crystal system**: tetragonal

---

Record 5
First-principles (PBE-GGA) data for a relaxed Ho6CuPd2 crystal, as listed in Alexandria via LeMat-Bulk.

abc: 8.377 8.377 8.377
angles: 106.57 110.79 111.09
Fractional coordinates of all 18 atoms:
Ho 0.552 0.727 0.825
Ho 0.448 0.273 0.175
Ho 0.097 0.273 0.825
Ho 0.903 0.727 0.175
Ho 0.814 0.753 0.567
Ho 0.186 0.247 0.433
Ho 0.186 0.753 0.940
Ho 0.814 0.247 0.060
Ho 0.703 0.373 0.670
Ho 0.297 0.627 0.330
Ho 0.297 0.967 0.670
Ho 0.703 0.033 0.330
Cu 0.000 0.500 0.500
Cu 0.000 0.000 0.000
Pd 0.500 0.367 0.867
Pd 0.500 0.633 0.133
Pd 0.660 0.000 0.660
Pd 0.340 0.000 0.340

Computed properties:
**Offset from the most stable computed form**: 0.000 eV/atom
**D(E_F)**: 16.04 states/eV per cell
**Calculated formation energy**: -10.241 kcal/mol of atoms
**Symmetry**: Immm
**Crystal system**: orthorhombic

---

Record 6
First-principles (PBE-GGA) data for a relaxed Ho8CuPd2 crystal, as listed in Alexandria via LeMat-Bulk.

abc: 5.044 6.719 9.061
angles: 104.38 106.16 90.00
Fractional coordinates of all 11 atoms:
Ho 0.409 0.544 0.818
Ho 0.667 0.979 0.333
Ho 0.797 0.674 0.595
Ho 0.968 0.219 0.936
Ho 0.203 0.326 0.405
Ho 0.333 0.021 0.667
Ho 0.591 0.456 0.182
Ho 0.032 0.781 0.064
Cu 0.500 0.000 0.000
Pd 0.813 0.270 0.625
Pd 0.187 0.730 0.375

Computed properties:
**Offset from the most stable computed form**: 0.000 eV/atom
**D(E_F)**: 13.04 states/eV per cell
**Calculated formation energy**: -8.160 kcal/mol of atoms
**Symmetry**: C2/m
**Crystal system**: monoclinic

---

Record 7
First-principles (PBE-GGA) data for a relaxed Ho2CuPd crystal, as listed in Alexandria via LeMat-Bulk.

abc: 4.552 5.500 7.391
angles: 109.58 90.00 90.00
Fractional coordinates of all 8 atoms:
Ho 0.750 0.221 0.430
Ho 0.250 0.779 0.570
Ho 0.250 0.778 0.069
Ho 0.750 0.222 0.931
Cu 0.750 0.657 0.291
Cu 0.250 0.343 0.709
Pd 0.250 0.341 0.213
Pd 0.750 0.659 0.787

Computed properties:
**D(E_F)**: 3.96 states/eV per cell
**Calculated formation energy**: -14.232 kcal/mol of atoms
**Symmetry**: P2_1/m
**Crystal system**: monoclinic

---

Record 8
First-principles (PBE-GGA) data for a relaxed Ho2CuPd4 crystal, as listed in Alexandria via LeMat-Bulk.

abc: 4.960 4.937 7.908
angles: 118.68 92.27 114.05
Fractional coordinates of all 7 atoms:
Pd 0.691 0.833 0.656
Pd 0.309 0.167 0.344
Pd 0.000 0.500 0.000
Pd 0.500 0.000 0.000
Ho 0.636 0.764 0.273
Ho 0.364 0.236 0.727
Cu 0.000 0.000 0.000

Computed properties:
**D(E_F)**: 2.17 states/eV per cell
**Calculated formation energy**: -12.851 kcal/mol of atoms
**Symmetry**: P-1
**Crystal system**: triclinic

---

Record 9
First-principles (PBE-GGA) data for a relaxed Ho4CuPd crystal, as listed in Alexandria via LeMat-Bulk.

abc: 7.780 7.780 7.780
angles: 104.74 104.74 119.42
Last column: magnetic moment on the atom in μB.
Fractional coordinates of all 12 atoms:
Ho 0.251 0.955 0.704  0.10
Ho 0.749 0.459 0.710  0.11
Ho 0.705 0.501 0.204  0.10
Ho 0.209 0.999 0.210  0.11
Ho 0.297 0.501 0.796  0.10
Ho 0.789 0.999 0.790  0.11
Ho 0.749 0.039 0.290  0.11
Ho 0.251 0.547 0.296  0.10
Cu 0.755 0.755 0.000  0.02
Cu 0.505 0.005 0.500  0.02
Pd 0.246 0.246 0.000  0.01
Pd 0.996 0.496 0.500  0.01

Computed properties:
**D(E_F)**: 17.38 states/eV per cell
**Calculated formation energy**: -3.416 kcal/mol of atoms
**Symmetry**: I4_1md
**Crystal system**: tetragonal

---

Record 10
First-principles (PBE-GGA) data for a relaxed HoCu5Pd7 crystal, as listed in Alexandria via LeMat-Bulk.

abc: 5.017 6.726 6.726
angles: 81.04 68.11 68.11
Fractional coordinates of all 13 atoms:
Ho 0.995 0.005 0.005
Cu 0.501 0.996 0.503
Cu 0.000 0.996 0.503
Cu 0.501 0.503 0.996
Cu 0.000 0.503 0.996
Cu 0.731 0.769 0.769
Pd 0.650 0.350 0.350
Pd 0.344 0.656 0.656
Pd 0.998 0.345 0.659
Pd 0.998 0.659 0.345
Pd 0.274 0.226 0.226
Pd 0.504 0.794 0.197
Pd 0.504 0.197 0.794

Computed properties:
**D(E_F)**: 4.71 states/eV per cell
**Calculated formation energy**: -7.604 kcal/mol of atoms
**Symmetry**: Imm2
**Crystal system**: orthorhombic

---

Record 11
First-principles (PBE-GGA) data for a relaxed Ho2CuPd crystal, as listed in Alexandria via LeMat-Bulk.

abc: 3.465 3.465 7.003
angles: 90.00 90.00 90.00
Fractional coordinates of all 4 atoms:
Cu 0.500 0.500 0.000
Ho 0.000 0.000 0.752
Ho 0.000 0.000 0.248
Pd 0.500 0.500 0.500

Computed properties:
**D(E_F)**: 2.39 states/eV per cell
**Calculated formation energy**: -13.475 kcal/mol of atoms
**Symmetry**: P4/mmm
**Crystal system**: tetragonal

---

Record 12
First-principles (PBE-GGA) data for a relaxed Ho5CuPd4 crystal, as listed in Alexandria via LeMat-Bulk.

abc: 3.477 3.477 17.566
angles: 90.00 90.00 90.00
Fractional coordinates of all 10 atoms:
Ho 0.500 0.500 0.099
Ho 0.500 0.500 0.299
Ho 0.500 0.500 0.500
Ho 0.500 0.500 0.701
Ho 0.500 0.500 0.901
Cu 0.000 0.000 0.000
Pd 0.000 0.000 0.198
Pd 0.000 0.000 0.399
Pd 0.000 0.000 0.601
Pd 0.000 0.000 0.802

Computed properties:
**D(E_F)**: 7.42 states/eV per cell
**Calculated formation energy**: -17.789 kcal/mol of atoms
**Symmetry**: P4/mmm
**Crystal system**: tetragonal

---

Record 13
First-principles (PBE-GGA) data for a relaxed Ho3Cu2Pd crystal, as listed in Alexandria via LeMat-Bulk.

abc: 3.453 3.453 10.514
angles: 90.00 90.00 90.00
Fractional coordinates of all 6 atoms:
Ho 0.000 0.000 0.000
Ho 0.000 0.000 0.668
Ho 0.000 0.000 0.332
Cu 0.500 0.500 0.835
Cu 0.500 0.500 0.165
Pd 0.500 0.500 0.500

Computed properties:
**Offset from the most stable computed form**: 0.004 eV/atom
**D(E_F)**: 3.45 states/eV per cell
**Calculated formation energy**: -10.984 kcal/mol of atoms
**Symmetry**: P4/mmm
**Crystal system**: tetragonal

---

Record 14
First-principles (PBE-GGA) data for a relaxed Ho2CuPd6 crystal, as listed in Alexandria via LeMat-Bulk.

abc: 3.542 7.644 7.696
angles: 119.78 103.26 90.00
Fractional coordinates of all 9 atoms:
Ho 0.649 0.650 0.300
Ho 0.351 0.350 0.700
Cu 0.000 0.000 0.000
Pd 0.165 0.374 0.332
Pd 0.835 0.042 0.668
Pd 0.835 0.626 0.668
Pd 0.500 0.236 0.000
Pd 0.165 0.958 0.332
Pd 0.500 0.764 0.000

Computed properties:
**D(E_F)**: 3.42 states/eV per cell
**Calculated formation energy**: -9.281 kcal/mol of atoms
**Symmetry**: Immm
**Crystal system**: orthorhombic

---

Record 15
First-principles (PBE-GGA) data for a relaxed Ho12Cu6Pd crystal, as listed in Alexandria via LeMat-Bulk.

abc: 8.108 8.108 8.108
angles: 98.72 98.72 98.72
Fractional coordinates of all 19 atoms:
Ho 0.812 0.586 0.435
Ho 0.435 0.812 0.586
Ho 0.586 0.435 0.812
Ho 0.188 0.414 0.565
Ho 0.565 0.188 0.414
Ho 0.414 0.565 0.188
Ho 0.090 0.956 0.326
Ho 0.044 0.674 0.910
Ho 0.674 0.910 0.044
Ho 0.910 0.044 0.674
Ho 0.956 0.326 0.090
Ho 0.326 0.090 0.956
Cu 0.686 0.869 0.376
Cu 0.624 0.314 0.131
Cu 0.131 0.624 0.314
Cu 0.314 0.131 0.624
Cu 0.376 0.686 0.869
Cu 0.869 0.376 0.686
Pd 0.000 0.000 0.000

Computed properties:
**D(E_F)**: 23.81 states/eV per cell
**Calculated formation energy**: -0.701 kcal/mol of atoms
**Symmetry**: R-3
**Crystal system**: trigonal

---

Record 16
First-principles (PBE-GGA) data for a relaxed Ho4Cu2Pd crystal, as listed in Alexandria via LeMat-Bulk.

abc: 7.566 7.507 8.312
angles: 114.80 113.92 106.18
Fractional coordinates of all 14 atoms:
Ho 0.061 0.312 0.371
Ho 0.406 0.524 0.234
Ho 0.823 0.534 0.645
Ho 0.768 0.152 0.762
Ho 0.329 0.951 0.219
Ho 0.188 0.042 0.732
Ho 0.541 0.801 0.882
Ho 0.822 0.623 0.156
Cu 0.457 0.328 0.672
Cu 0.774 0.010 0.389
Cu 0.617 0.250 0.173
Cu 0.180 0.446 0.809
Pd 0.285 0.771 0.477
Pd 0.999 0.005 0.979

Computed properties:
**Offset from the most stable computed form**: 0.000 eV/atom
**D(E_F)**: 11.74 states/eV per cell
**Calculated formation energy**: -7.726 kcal/mol of atoms
**Symmetry**: P1
**Crystal system**: triclinic

---

Record 17
First-principles (PBE-GGA) data for a relaxed HoCuPd14 crystal, as listed in Alexandria via LeMat-Bulk.

abc: 5.631 5.631 7.977
angles: 90.00 90.00 90.01
Fractional coordinates of all 16 atoms:
Ho 0.875 0.875 0.500
Cu 0.375 0.375 0.500
Pd 0.875 0.875 0.000
Pd 0.375 0.375 0.000
Pd 0.875 0.375 0.500
Pd 0.875 0.375 0.000
Pd 0.375 0.875 0.500
Pd 0.375 0.875 0.000
Pd 0.621 0.129 0.249
Pd 0.621 0.129 0.751
Pd 0.129 0.621 0.249
Pd 0.129 0.621 0.751
Pd 0.621 0.621 0.249
Pd 0.621 0.621 0.751
Pd 0.129 0.129 0.249
Pd 0.129 0.129 0.751

Computed properties:
**D(E_F)**: 29.04 states/eV per cell
**Calculated formation energy**: -4.836 kcal/mol of atoms
**Symmetry**: P4/mmm
**Crystal system**: tetragonal

---

Record 18
First-principles (PBE-GGA) data for a relaxed Ho5Cu4Pd crystal, as listed in Alexandria via LeMat-Bulk.

abc: 3.442 3.442 17.534
angles: 90.00 90.00 90.00
Fractional coordinates of all 10 atoms:
Ho 0.500 0.500 0.101
Ho 0.500 0.500 0.300
Ho 0.500 0.500 0.500
Ho 0.500 0.500 0.700
Ho 0.500 0.500 0.899
Cu 0.000 0.000 0.202
Cu 0.000 0.000 0.401
Cu 0.000 0.000 0.599
Cu 0.000 0.000 0.798
Pd 0.000 0.000 0.000

Computed properties:
**D(E_F)**: 5.20 states/eV per cell
**Calculated formation energy**: -9.047 kcal/mol of atoms
**Symmetry**: P4/mmm
**Crystal system**: tetragonal

---

Record 19
First-principles (PBE-GGA) data for a relaxed Ho8CuPd2 crystal, as listed in Alexandria via LeMat-Bulk.

abc: 5.875 7.714 7.714
angles: 114.62 100.36 100.36
Fractional coordinates of all 11 atoms:
Pd 0.491 0.699 0.313
Pd 0.491 0.313 0.699
Ho 0.584 0.342 0.088
Ho 0.584 0.088 0.342
Ho 0.170 0.368 0.368
Ho 0.986 0.214 0.787
Ho 0.986 0.787 0.214
Ho 0.804 0.640 0.640
Ho 0.371 0.917 0.662
Ho 0.371 0.662 0.917
Cu 0.159 0.004 0.004

Computed properties:
**Offset from the most stable computed form**: 0.115 eV/atom
**D(E_F)**: 14.89 states/eV per cell
**Calculated formation energy**: -5.510 kcal/mol of atoms
**Symmetry**: Cm
**Crystal system**: monoclinic

---

Record 20
First-principles (PBE-GGA) data for a relaxed HoCu6Pd6 crystal, as listed in Alexandria via LeMat-Bulk.

abc: 4.988 6.668 6.668
angles: 83.28 68.04 68.04
Fractional coordinates of all 13 atoms:
Ho 0.000 0.000 0.000
Cu 0.000 0.500 0.000
Cu 0.500 0.500 0.000
Cu 0.000 0.000 0.500
Cu 0.500 0.000 0.500
Cu 0.500 0.762 0.238
Cu 0.500 0.238 0.762
Pd 0.342 0.658 0.658
Pd 0.658 0.342 0.342
Pd 0.000 0.347 0.653
Pd 0.000 0.653 0.347
Pd 0.313 0.187 0.187
Pd 0.687 0.813 0.813

Computed properties:
**D(E_F)**: 3.91 states/eV per cell
**Calculated formation energy**: -7.822 kcal/mol of atoms
**Symmetry**: Immm
**Crystal system**: orthorhombic